An optimized crystal structure of ZnSbMo2. Source: Alexandria, functional PBE-GGA. Values from VASP.

```
&SYSTEM
  ibrav = 0, nat = 4, ntyp = 3
/
ATOMIC_SPECIES
Zn 65.41 Zn.upf
Sb 121.76 Sb.upf
Mo 95.94 Mo.upf
ATOMIC_POSITIONS crystal
Zn 0.000 0.000 0.000
Sb 0.500 0.500 0.722
Mo 0.000 0.000 0.454
Mo 0.500 0.500 0.217
CELL_PARAMETERS angstrom
3.364 0.000 0.000
0.000 3.364 0.000
0.000 0.000 6.010
```

Calculated values
The total energy is -6.65 eV per atom. Its uncorrected formation energy is 0.12 eV/atom. The magnetization comes out at 0.00 μB per formula unit.